{"formula": "CaCrCu2F8", "functional": "GGA+U", "state": "relaxed", "lattice_angstrom": [[-2.677, 2.677, 5.305], [2.677, -2.677, 5.305], [2.677, 2.677, -5.305]], "species": ["Ca", "Cr", "Cu", "Cu", "F", "F", "F", "F", "F", "F", "F", "F"], "frac_coords": [[0.000, 0.000, 0.000], [0.250, 0.750, 0.500], [0.500, 0.500, 0.000], [0.750, 0.250, 0.500], [0.000, 0.387, 0.990], [0.259, 0.409, 0.546], [0.287, 0.741, 0.150], [0.397, 0.010, 0.010], [0.591, 0.137, 0.850], [0.613, 0.603, 0.613], [0.863, 0.713, 0.454], [0.990, 0.000, 0.387]], "n_ef_per_ev_atom": 0.647, "vol_a3_per_atom": 12.7, "e_tot_ry_per_atom": -0.37007}